Pu2NiP3 after structural relaxation. Source: Alexandria, functional PBE.

a b c (Å): 8.0783 8.0499 5.4530
angles (deg): 70.52 69.96 39.52
Fractional positions:
Pu1 0.2338 0.7662 0.2338
Pu2 0.2500 0.2500 0.2500
Pu3 0.7500 0.7500 0.7500
Pu4 0.7662 0.2338 0.7662
Ni1 0.3394 0.3394 0.6606
Ni2 0.6606 0.6606 0.3394
P1 0.1613 0.6601 0.8387
P2 0.1841 0.1841 0.8159
P3 0.3399 0.8387 0.6601
P4 0.6601 0.1613 0.3399
P5 0.8159 0.8159 0.1841
P6 0.8387 0.3399 0.1613

Output
Size of the total moment = 0.01 μB per atom
Energy of formation = -804.2 meV per atom
N(E_F) = 33.32 states/eV per cell
Uncorrected energy = -9.25 eV/atom


Pu3NiP3 after structural relaxation. Source: Alexandria, functional PBE.

a b c (Å): 7.9996 7.9996 5.5946
angles (deg): 90.00 90.00 120.00
Fractional positions:
Pu1 0.0855 0.6924 0.2500
Pu2 0.3076 0.3931 0.2500
Pu3 0.3931 0.0855 0.7500
Pu4 0.6069 0.9145 0.2500
Pu5 0.6924 0.6069 0.7500
Pu6 0.9145 0.3076 0.7500
Ni1 0.3333 0.6667 0.7500
Ni2 0.6667 0.3333 0.2500
P1 0.0818 0.7147 0.7500
P2 0.2853 0.3671 0.7500
P3 0.3671 0.0818 0.2500
P4 0.6329 0.9182 0.7500
P5 0.7147 0.6329 0.2500
P6 0.9182 0.2853 0.2500

Output
Size of the total moment = 2.14 μB per atom
Energy of formation = -864.2 meV per atom
N(E_F) = 50.81 states/eV per cell
Uncorrected energy = -10.15 eV/atom


PuNiP2 after structural relaxation. Source: Alexandria, functional PBE.

a b c (Å): 9.7022 9.7022 9.7022
angles (deg): 157.82 157.82 31.57
Fractional positions:
Pu1 0.1122 0.1122 0.0000
Pu2 0.8878 0.8878 0.0000
Ni1 0.2500 0.7500 0.5000
Ni2 0.7500 0.2500 0.5000
P1 0.0000 0.5000 0.5000
P2 0.3204 0.3204 0.0000
P3 0.5000 0.0000 0.5000
P4 0.6796 0.6796 0.0000

Output
Size of the total moment = 1.18 μB per atom
Energy of formation = -826.0 meV per atom
N(E_F) = 17.01 states/eV per cell
Uncorrected energy = -8.56 eV/atom